1.
# LiInGaHg2

A crystal of LiInGaHg2 relaxed with PBEsol (meta-GGA SCAN, the Alexandria database).

Unit cell a=5.1271 b=5.1271 c=5.3720 alpha=90.00 beta=90.00 gamma=90.00
Atoms (fractional coordinates):
Li (0.0000, 0.0000, 0.0000)
In (0.5000, 0.5000, 0.0000)
Ga (0.5000, 0.5000, 0.5000)
Hg (0.0000, 0.5000, 0.5000)
Hg (0.5000, 0.0000, 0.5000)

Calculated values
* size of the total moment: 0.0 μB per formula unit
* N(E_F): 0.442 states/eV per atom
* DFT total energy: -2.7600 Ry per atom



2.
# Ga2HgIr2

A crystal of Ga2HgIr2 relaxed with PBEsol (meta-GGA SCAN, the Alexandria database).

Unit cell a=7.2967 b=7.2967 c=2.9226 alpha=90.00 beta=90.00 gamma=90.00
Atoms (fractional coordinates):
Ga (0.1477, 0.3523, 0.0000)
Ga (0.3523, 0.8523, 0.0000)
Ga (0.6477, 0.1477, 0.0000)
Ga (0.8523, 0.6477, 0.0000)
Hg (0.0000, 0.0000, 0.5000)
Hg (0.5000, 0.5000, 0.5000)
Ir (0.1483, 0.6483, 0.5000)
Ir (0.3517, 0.1483, 0.5000)
Ir (0.6483, 0.8517, 0.5000)
Ir (0.8517, 0.3517, 0.5000)

Calculated values
* size of the total moment: 0.0 μB per formula unit
* N(E_F): 0.294 states/eV per atom
* DFT total energy: -3.5917 Ry per atom



3.
# Ga3HgIr

A crystal of Ga3HgIr relaxed with PBEsol (meta-GGA SCAN, the Alexandria database).

Unit cell a=4.7885 b=4.7885 c=4.7885 alpha=90.00 beta=90.00 gamma=90.00
Atoms (fractional coordinates):
Ga (0.0000, 0.0000, 0.5000)
Ga (0.0000, 0.5000, 0.0000)
Ga (0.5000, 0.0000, 0.0000)
Hg (0.5000, 0.5000, 0.5000)
Ir (0.0000, 0.0000, 0.0000)

Calculated values
* size of the total moment: 0.0 μB per formula unit
* N(E_F): 0.106 states/eV per atom
* DFT total energy: -2.7929 Ry per atom



4.
# GaHg3Ir

A crystal of GaHg3Ir relaxed with PBEsol (meta-GGA SCAN, the Alexandria database).

Unit cell a=4.9107 b=4.9107 c=4.9107 alpha=90.00 beta=90.00 gamma=90.00
Atoms (fractional coordinates):
Ga (0.0000, 0.0000, 0.0000)
Hg (0.0000, 0.0000, 0.5000)
Hg (0.0000, 0.5000, 0.0000)
Hg (0.5000, 0.0000, 0.0000)
Ir (0.5000, 0.5000, 0.5000)

Calculated values
* size of the total moment: 2.0 μB per formula unit
* N(E_F): 0.771 states/eV per atom
* DFT total energy: -4.2043 Ry per atom



- N(E_F) of number 2 (Ga2HgIr2)?
  0.294 states/eV per atom



- Look up the N(E_F) of the first one.
  0.442 states/eV per atom



Copy entry 2 word for word.
# Ga2HgIr2

A crystal of Ga2HgIr2 relaxed with PBEsol (meta-GGA SCAN, the Alexandria database).

Unit cell a=7.2967 b=7.2967 c=2.9226 alpha=90.00 beta=90.00 gamma=90.00
Atoms (fractional coordinates):
Ga (0.1477, 0.3523, 0.0000)
Ga (0.3523, 0.8523, 0.0000)
Ga (0.6477, 0.1477, 0.0000)
Ga (0.8523, 0.6477, 0.0000)
Hg (0.0000, 0.0000, 0.5000)
Hg (0.5000, 0.5000, 0.5000)
Ir (0.1483, 0.6483, 0.5000)
Ir (0.3517, 0.1483, 0.5000)
Ir (0.6483, 0.8517, 0.5000)
Ir (0.8517, 0.3517, 0.5000)

Calculated values
* size of the total moment: 0.0 μB per formula unit
* N(E_F): 0.294 states/eV per atom
* DFT total energy: -3.5917 Ry per atom



- Among the records above, which one has the highest size of the total moment?
  GaHg3Ir